No. 1
Computed, not measured: a relaxed structure of Li4SiGePd2 at the PBE-GGA level of DFT.

Cell lengths 4.2356, 4.2356, 5.9951 Å; angles 90.00, 90.00, 90.00 degrees
Space group P-4m2 (No. 115)
Unique sites:
Li 0.0000 0.0000 0.0000 (multiplicity 1)
Li 0.0000 0.5000 0.2481 (multiplicity 2)
Li 0.5000 0.5000 0.5000 (multiplicity 1)
Si 0.5000 0.5000 0.0000 (multiplicity 1)
Ge 0.0000 0.0000 0.5000 (multiplicity 1)
Pd 0.0000 0.5000 0.7623 (multiplicity 2)

## Properties
**Total energy**: -32.4 eV per formula unit


No. 2
Computed, not measured: a relaxed structure of Li2SnGePd2 at the PBE-GGA level of DFT.

Cell lengths 4.5310, 4.5310, 5.5517 Å; angles 90.00, 90.00, 120.00 degrees
Space group P-6m2 (No. 187)
Unique sites:
Li 0.0000 0.0000 0.2401 (multiplicity 2)
Sn 0.3333 0.6667 0.5000 (multiplicity 1)
Ge 0.6667 0.3333 0.0000 (multiplicity 1)
Pd 0.3333 0.6667 0.0000 (multiplicity 1)
Pd 0.6667 0.3333 0.5000 (multiplicity 1)

## Properties
**Total energy**: -26.0 eV per formula unit